1.
The following is a DFT calculation (PBE) of a geometry-optimized Cd2InW structure.

Calculated values
energy of formation from the pure elements	0.8043	eV/atom
uncorrected energy	-57.2	eV/cell
total moment	0.52	μB/atom

Geometry as CIF:
```
data_Cd2InW
_chemical_formula_sum 'Cd8 In4 W4'
_cell_length_a 6.8887
_cell_length_b 6.8887
_cell_length_c 6.8887
_cell_angle_alpha 90.00
_cell_angle_beta 90.00
_cell_angle_gamma 90.00
_symmetry_space_group_name_H-M 'F -4 3 m'
_symmetry_Int_Tables_number 216
_symmetry_space_group_name_Hall 'F -4 2 3'
loop_
_atom_site_label
_atom_site_type_symbol
_atom_site_fract_x
_atom_site_fract_y
_atom_site_fract_z
Cd1 Cd 0.0000 0.0000 0.0000
Cd2 Cd 0.2500 0.2500 0.2500
In1 In 0.0000 0.0000 0.5000
W1 W 0.2500 0.2500 0.7500
```

2.
The following is a DFT calculation (PBE) of a geometry-optimized LiU4Se7 structure.

Calculated values
uncorrected energy	-85.0	eV/cell
E above lowest polymorph	0	meV per atom
total moment	0.01	μB/atom

Geometry as CIF:
```
data_LiU4Se7
_chemical_formula_sum 'Li1 U4 Se7'
_cell_length_a 4.0582
_cell_length_b 4.0582
_cell_length_c 23.5971
_cell_angle_alpha 90.00
_cell_angle_beta 90.00
_cell_angle_gamma 120.00
_symmetry_space_group_name_H-M 'P -3 m 1'
_symmetry_Int_Tables_number 164
_symmetry_space_group_name_Hall '-P 3 2"'
loop_
_atom_site_label
_atom_site_type_symbol
_atom_site_fract_x
_atom_site_fract_y
_atom_site_fract_z
Li1 Li 0.0000 0.0000 0.0000
U1 U 0.3333 0.6667 0.1401
U2 U 0.3333 0.6667 0.4269
Se1 Se 0.0000 0.0000 0.2064
Se2 Se 0.0000 0.0000 0.5000
Se3 Se 0.3333 0.6667 0.6400
Se4 Se 0.3333 0.6667 0.9328
```

3.
The following is a DFT calculation (PBE) of a geometry-optimized Pu3ThRh3 structure.

Calculated values
energy of formation from the pure elements	0.3252	eV/atom
uncorrected energy	-140.4	eV/cell
total moment	2.41	μB/atom

Geometry as CIF:
```
data_Pu3ThRh3
_chemical_formula_sum 'Pu6 Th2 Rh6'
_cell_length_a 7.3549
_cell_length_b 7.3549
_cell_length_c 7.3549
_cell_angle_alpha 90.00
_cell_angle_beta 90.00
_cell_angle_gamma 90.00
_symmetry_space_group_name_H-M 'P m -3 n'
_symmetry_Int_Tables_number 223
_symmetry_space_group_name_Hall '-P 4n 2 3'
loop_
_atom_site_label
_atom_site_type_symbol
_atom_site_fract_x
_atom_site_fract_y
_atom_site_fract_z
Pu1 Pu 0.0000 0.2500 0.5000
Th1 Th 0.0000 0.0000 0.0000
Rh1 Rh 0.0000 0.5000 0.2500
```

4.
The following is a DFT calculation (PBE) of a geometry-optimized CsCeI3 structure.

Calculated values
uncorrected energy	-17.8	eV/cell
E above lowest polymorph	89	meV per atom
total moment	0.39	μB/atom

Geometry as CIF:
```
data_CsCeI3
_chemical_formula_sum 'Cs1 Ce1 I3'
_cell_length_a 6.3422
_cell_length_b 6.3422
_cell_length_c 6.3422
_cell_angle_alpha 90.00
_cell_angle_beta 90.00
_cell_angle_gamma 90.00
_symmetry_space_group_name_H-M 'P m -3 m'
_symmetry_Int_Tables_number 221
_symmetry_space_group_name_Hall '-P 4 2 3'
loop_
_atom_site_label
_atom_site_type_symbol
_atom_site_fract_x
_atom_site_fract_y
_atom_site_fract_z
Cs1 Cs 0.0000 0.0000 0.0000
Ce1 Ce 0.5000 0.5000 0.5000
I1 I 0.0000 0.5000 0.5000
```

Repeat the fourth record exactly.
The following is a DFT calculation (PBE) of a geometry-optimized CsCeI3 structure.

Calculated values
uncorrected energy	-17.8	eV/cell
E above lowest polymorph	89	meV per atom
total moment	0.39	μB/atom

Geometry as CIF:
```
data_CsCeI3
_chemical_formula_sum 'Cs1 Ce1 I3'
_cell_length_a 6.3422
_cell_length_b 6.3422
_cell_length_c 6.3422
_cell_angle_alpha 90.00
_cell_angle_beta 90.00
_cell_angle_gamma 90.00
_symmetry_space_group_name_H-M 'P m -3 m'
_symmetry_Int_Tables_number 221
_symmetry_space_group_name_Hall '-P 4 2 3'
loop_
_atom_site_label
_atom_site_type_symbol
_atom_site_fract_x
_atom_site_fract_y
_atom_site_fract_z
Cs1 Cs 0.0000 0.0000 0.0000
Ce1 Ce 0.5000 0.5000 0.5000
I1 I 0.0000 0.5000 0.5000
```

- Which of these has the lowest total moment?
  LiU4Se7

Repeat the second record exactly.
The following is a DFT calculation (PBE) of a geometry-optimized LiU4Se7 structure.

Calculated values
uncorrected energy	-85.0	eV/cell
E above lowest polymorph	0	meV per atom
total moment	0.01	μB/atom

Geometry as CIF:
```
data_LiU4Se7
_chemical_formula_sum 'Li1 U4 Se7'
_cell_length_a 4.0582
_cell_length_b 4.0582
_cell_length_c 23.5971
_cell_angle_alpha 90.00
_cell_angle_beta 90.00
_cell_angle_gamma 120.00
_symmetry_space_group_name_H-M 'P -3 m 1'
_symmetry_Int_Tables_number 164
_symmetry_space_group_name_Hall '-P 3 2"'
loop_
_atom_site_label
_atom_site_type_symbol
_atom_site_fract_x
_atom_site_fract_y
_atom_site_fract_z
Li1 Li 0.0000 0.0000 0.0000
U1 U 0.3333 0.6667 0.1401
U2 U 0.3333 0.6667 0.4269
Se1 Se 0.0000 0.0000 0.2064
Se2 Se 0.0000 0.0000 0.5000
Se3 Se 0.3333 0.6667 0.6400
Se4 Se 0.3333 0.6667 0.9328
```

Please write out number 4 again, unchanged.
The following is a DFT calculation (PBE) of a geometry-optimized CsCeI3 structure.

Calculated values
uncorrected energy	-17.8	eV/cell
E above lowest polymorph	89	meV per atom
total moment	0.39	μB/atom

Geometry as CIF:
```
data_CsCeI3
_chemical_formula_sum 'Cs1 Ce1 I3'
_cell_length_a 6.3422
_cell_length_b 6.3422
_cell_length_c 6.3422
_cell_angle_alpha 90.00
_cell_angle_beta 90.00
_cell_angle_gamma 90.00
_symmetry_space_group_name_H-M 'P m -3 m'
_symmetry_Int_Tables_number 221
_symmetry_space_group_name_Hall '-P 4 2 3'
loop_
_atom_site_label
_atom_site_type_symbol
_atom_site_fract_x
_atom_site_fract_y
_atom_site_fract_z
Cs1 Cs 0.0000 0.0000 0.0000
Ce1 Ce 0.5000 0.5000 0.5000
I1 I 0.0000 0.5000 0.5000
```